(1)
Computed, not measured: an optimized crystal structure of Be2SnAu6 at the PBE level of DFT.

Cell and atoms, written as POSCAR:
```
Be2SnAu6
1.0
-3.986 0.582 2.781
0.896 -4.656 -1.215
5.335 1.172 4.980
Be Sn Au
2 1 6
direct
0.250 0.250 0.500
0.750 0.750 0.500
0.500 0.000 0.000
0.064 0.215 0.792
0.285 0.436 0.208
0.936 0.785 0.208
0.715 0.564 0.792
0.291 0.791 0.588
0.709 0.209 0.412
```

Calculated values
SG ... No. 12
Energy ... -3.546 eV per atom
Magnetization ... 0.00 μB/atom

=====

(2)
Computed, not measured: an optimized crystal structure of LiY2MnN at the PBE level of DFT.

Cell and atoms, written as POSCAR:
```
LiY2MnN
1.0
-0.857 0.006 -4.869
3.144 -3.775 -0.559
-2.746 -2.359 0.480
Y Mn Li N
2 1 1 1
direct
0.000 0.500 0.000
0.500 0.000 0.000
0.000 0.000 0.500
0.500 0.500 0.500
0.000 0.000 0.000
```

Calculated values
SG ... No. 123
Energy ... -7.015 eV per atom
Magnetization ... 0.03 μB/atom

=====

(3)
Computed, not measured: an optimized crystal structure of Ca8IrAu2 at the PBE level of DFT.

Cell and atoms, written as POSCAR:
```
Ca8IrAu2
1.0
5.146 0.000 0.000
0.000 7.117 0.140
-2.573 -2.883 8.814
Ca Ir Au
8 1 2
direct
0.410 0.580 0.820
0.658 0.961 0.316
0.790 0.688 0.581
0.969 0.193 0.939
0.210 0.312 0.419
0.342 0.039 0.684
0.590 0.420 0.180
0.031 0.807 0.061
0.500 0.000 0.000
0.815 0.290 0.629
0.185 0.710 0.371
```

Calculated values
SG ... No. 12
Energy ... -3.260 eV per atom
Magnetization ... 0.00 μB/atom

=====

(4)
Computed, not measured: an optimized crystal structure of La3IrCl at the PBE level of DFT.

Cell and atoms, written as POSCAR:
```
La3IrCl
1.0
4.339 0.000 0.000
0.000 7.408 1.395
0.000 -0.093 10.829
La Ir Cl
6 2 2
direct
0.599 0.081 0.786
0.099 0.094 0.060
0.099 0.423 0.529
0.599 0.546 0.843
0.099 0.888 0.587
0.599 0.876 0.313
0.599 0.666 0.558
0.099 0.303 0.815
0.599 0.787 0.054
0.099 0.182 0.319
```

Calculated values
SG ... No. 11
Energy ... -5.950 eV per atom
Magnetization ... 0.00 μB/atom

=====

(5)
Computed, not measured: an optimized crystal structure of Tl5Cu at the PBE level of DFT.

Cell and atoms, written as POSCAR:
```
Tl5Cu
1.0
0.000 4.541 4.541
4.541 0.000 4.541
4.541 4.541 0.000
Tl Cu
5 1
direct
0.250 0.250 0.250
0.625 0.625 0.625
0.625 0.625 0.124
0.124 0.625 0.625
0.625 0.124 0.625
0.000 0.000 0.000
```

Calculated values
SG ... No. 216
Energy ... -2.261 eV per atom
Magnetization ... 0.00 μB/atom

=====

(6)
Computed, not measured: an optimized crystal structure of La5YAg4 at the PBE level of DFT.

Cell and atoms, written as POSCAR:
```
La5YAg4
1.0
-0.523 3.738 -0.480
-3.283 -0.213 1.911
9.906 3.625 17.421
La Y Ag
5 1 4
direct
0.500 0.500 0.122
0.500 0.500 0.310
0.500 0.500 0.500
0.500 0.500 0.690
0.500 0.500 0.878
0.000 0.000 0.000
0.000 0.000 0.214
0.000 0.000 0.406
0.000 0.000 0.594
0.000 0.000 0.786
```

Calculated values
SG ... No. 123
Energy ... -4.447 eV per atom
Magnetization ... 0.00 μB/atom

=====

Look up the energy of the second one.
-7.015 eV per atom

=====

Which value of energy does entry 1 give?
-3.546 eV per atom

=====

Among the records above, which one has the highest energy?
Tl5Cu

=====

Among the records above, which one has the highest magnetization?
LiY2MnN